7
Lattice="-1.2163 -3.4270 2.0568 4.1718 -5.4598 -2.7068 6.2397 -0.4356 2.4686" Properties=species:S:1:pos:R:3 comment="Cd2In2GaHg2 | Alexandria | PBE | optimized geometry" formation_enthalpy_0k_ev_per_atom=0.044 e_tot_ev_per_atom=-1.519 pbc="T T T"
Cd 6.3083 -5.4504 2.5383
Cd 2.8868 -3.8720 -0.7197
In 7.8742 -7.1297 0.5012
In 1.3210 -2.1928 1.3173
Ga 0.0000 0.0000 0.0000
Hg 3.3082 -4.8061 2.1577
Hg 5.8869 -4.5163 -0.3391